Record 1
Entry from Alexandria: a geometry-optimized CoAuS2 structure (GGA-PBE).

Computed properties:
DFT total energy: -152.09 eV per cell
Total moment: 0.0 μB per formula unit
Space group: No. 15

a b c (Å): 7.491 7.491 12.690
angles (deg): 113.02 113.02 69.03
Atoms (fractional coordinates):
Co: 0.056 0.247 0.899
Co: 0.148 0.685 0.839
Co: 0.247 0.056 0.399
Co: 0.315 0.852 0.661
Co: 0.685 0.148 0.339
Co: 0.753 0.944 0.601
Co: 0.852 0.315 0.161
Co: 0.944 0.753 0.101
Au: 0.058 0.569 0.403
Au: 0.431 0.942 0.097
Au: 0.440 0.441 0.574
Au: 0.441 0.440 0.074
Au: 0.559 0.560 0.926
Au: 0.560 0.559 0.426
Au: 0.569 0.058 0.903
Au: 0.942 0.431 0.597
S: 0.017 0.874 0.550
S: 0.108 0.557 0.957
S: 0.126 0.983 0.950
S: 0.149 0.248 0.279
S: 0.211 0.789 0.250
S: 0.248 0.149 0.779
S: 0.347 0.653 0.750
S: 0.443 0.892 0.543
S: 0.557 0.108 0.457
S: 0.653 0.347 0.250
S: 0.752 0.851 0.221
S: 0.789 0.211 0.750
S: 0.851 0.752 0.721
S: 0.874 0.017 0.050
S: 0.892 0.443 0.043
S: 0.983 0.126 0.450

---

Record 2
Entry from Alexandria: a geometry-optimized CoAuS structure (GGA-PBE).

Computed properties:
Energy above the lowest structure with this stoichiometry: 304 meV/atom
DFT total energy: -56.77 eV per cell
Total moment: 0.0 μB per formula unit
Space group: No. 12

a b c (Å): 7.302 7.302 6.541
angles (deg): 96.17 96.17 34.97
Atoms (fractional coordinates):
Co: 0.178 0.178 0.107
Co: 0.180 0.180 0.606
Co: 0.820 0.820 0.394
Co: 0.822 0.822 0.893
Au: 0.031 0.031 0.809
Au: 0.435 0.435 0.641
Au: 0.565 0.565 0.359
Au: 0.969 0.969 0.191
S: 0.285 0.285 0.381
S: 0.286 0.286 0.883
S: 0.714 0.714 0.117
S: 0.715 0.715 0.619

---

Record 3
Entry from Alexandria: a geometry-optimized CoAuS2 structure (GGA-PBE).

Computed properties:
DFT total energy: -77.19 eV per cell
Total moment: 0.0 μB per formula unit
Space group: No. 62

a b c (Å): 7.218 3.322 13.347
angles (deg): 90.00 90.00 90.00
Atoms (fractional coordinates):
Co: 0.059 0.250 0.094
Co: 0.441 0.750 0.594
Co: 0.559 0.250 0.406
Co: 0.941 0.750 0.906
Au: 0.040 0.750 0.409
Au: 0.460 0.250 0.909
Au: 0.540 0.750 0.091
Au: 0.960 0.250 0.591
S: 0.138 0.250 0.934
S: 0.233 0.750 0.146
S: 0.267 0.250 0.646
S: 0.362 0.750 0.434
S: 0.638 0.250 0.566
S: 0.733 0.750 0.354
S: 0.767 0.250 0.854
S: 0.862 0.750 0.066

---

Record 4
Entry from Alexandria: a geometry-optimized CoAuS2 structure (GGA-PBE).

Computed properties:
DFT total energy: -38.73 eV per cell
Total moment: 0.0 μB per formula unit
Space group: No. 2

a b c (Å): 3.194 6.430 7.360
angles (deg): 103.01 90.00 90.16
Atoms (fractional coordinates):
Co: 0.250 0.153 0.082
Co: 0.750 0.847 0.918
Au: 0.249 0.800 0.438
Au: 0.751 0.200 0.562
S: 0.248 0.691 0.723
S: 0.249 0.828 0.122
S: 0.751 0.172 0.878
S: 0.752 0.309 0.277

---

Record 5
Entry from Alexandria: a geometry-optimized CoAuS2 structure (GGA-PBE).

Computed properties:
DFT total energy: -16.21 eV per cell
Total moment: 0.3 μB per formula unit
Space group: No. 123

a b c (Å): 4.341 4.341 3.165
angles (deg): 90.00 90.00 90.00
Atoms (fractional coordinates):
Co: 0.000 0.000 0.000
Au: 0.500 0.500 0.000
S: 0.000 0.500 0.500
S: 0.500 0.000 0.500

---

Record 6
Entry from Alexandria: a geometry-optimized CoAuS2 structure (GGA-PBE).

Computed properties:
DFT total energy: -38.39 eV per cell
Total moment: 0.0 μB per formula unit
Space group: No. 2

a b c (Å): 3.369 5.863 7.429
angles (deg): 101.86 94.78 100.71
Atoms (fractional coordinates):
Co: 0.235 0.082 0.171
Co: 0.765 0.918 0.829
Au: 0.024 0.231 0.601
Au: 0.976 0.769 0.399
S: 0.165 0.689 0.698
S: 0.356 0.180 0.900
S: 0.644 0.820 0.100
S: 0.835 0.311 0.302

---

Record 7
Entry from Alexandria: a geometry-optimized CoAuS2 structure (GGA-PBE).

Computed properties:
DFT total energy: -74.55 eV per cell
Total moment: 0.0 μB per formula unit
Space group: No. 62

a b c (Å): 5.324 4.214 11.742
angles (deg): 90.00 90.00 90.00
Atoms (fractional coordinates):
Co: 0.019 0.250 0.125
Co: 0.481 0.750 0.625
Co: 0.519 0.250 0.375
Co: 0.981 0.750 0.875
Au: 0.128 0.250 0.634
Au: 0.372 0.750 0.134
Au: 0.628 0.250 0.866
Au: 0.872 0.750 0.366
S: 0.062 0.250 0.933
S: 0.094 0.250 0.317
S: 0.406 0.750 0.817
S: 0.438 0.750 0.433
S: 0.562 0.250 0.567
S: 0.594 0.250 0.183
S: 0.906 0.750 0.683
S: 0.938 0.750 0.067

---

Record 8
Entry from Alexandria: a geometry-optimized CoAuS2 structure (GGA-PBE).

Computed properties:
DFT total energy: -38.66 eV per cell
Total moment: 0.0 μB per formula unit
Space group: No. 1

a b c (Å): 3.272 6.119 7.418
angles (deg): 77.98 83.70 75.97
Atoms (fractional coordinates):
Co: 0.000 0.000 0.000
Co: 0.336 0.375 0.918
Au: 0.467 0.090 0.479
Au: 0.951 0.557 0.431
S: 0.139 0.635 0.107
S: 0.422 0.095 0.166
S: 0.518 0.057 0.798
S: 0.802 0.549 0.750

---

Record 9
Entry from Alexandria: a geometry-optimized CoAuS3 structure (GGA-PBE).

Computed properties:
Energy above the lowest structure with this stoichiometry: 0 meV/atom
DFT total energy: -19.65 eV per cell
Total moment: 1.8 μB per formula unit
Space group: No. 221

a b c (Å): 4.439 4.439 4.439
angles (deg): 90.00 90.00 90.00
Atoms (fractional coordinates):
Co: 0.000 0.000 0.000
Au: 0.500 0.500 0.500
S: 0.000 0.000 0.500
S: 0.000 0.500 0.000
S: 0.500 0.000 0.000

---

Record 10
Entry from Alexandria: a geometry-optimized CoAuS2 structure (GGA-PBE).

Computed properties:
DFT total energy: -38.75 eV per cell
Total moment: 0.0 μB per formula unit
Space group: No. 2

a b c (Å): 3.201 6.411 7.475
angles (deg): 75.15 89.99 76.01
Atoms (fractional coordinates):
Co: 0.174 0.158 0.412
Co: 0.826 0.842 0.588
Au: 0.348 0.796 0.072
Au: 0.652 0.204 0.928
S: 0.338 0.818 0.388
S: 0.399 0.690 0.787
S: 0.601 0.310 0.213
S: 0.662 0.182 0.612

---

Record 11
Entry from Alexandria: a geometry-optimized VCoAuS2 structure (GGA-PBE).

Computed properties:
DFT total energy: -25.14 eV per cell
Total moment: 2.4 μB per formula unit
Space group: No. 123

a b c (Å): 4.422 4.422 5.070
angles (deg): 90.00 90.00 90.00
Atoms (fractional coordinates):
V: 0.000 0.000 0.000
Co: 0.500 0.500 0.500
Au: 0.000 0.000 0.500
S: 0.000 0.500 0.000
S: 0.500 0.000 0.000

---

Record 12
Entry from Alexandria: a geometry-optimized CoSb2Au structure (GGA-PBE).

Computed properties:
Energy above the lowest structure with this stoichiometry: 260 meV/atom
DFT total energy: -17.27 eV per cell
Total moment: 1.1 μB per formula unit
Space group: No. 12

a b c (Å): 4.797 4.797 3.508
angles (deg): 90.34 90.34 97.66
Atoms (fractional coordinates):
Co: 0.000 0.000 0.000
Sb: 0.000 0.500 0.500
Sb: 0.500 0.000 0.500
Au: 0.500 0.500 0.000